NiPdN2O PBE with a Hubbard U optimized geometry; E_tot = -4.456 eV per atom; magnetic moment = 2.3 μB per cell; space group = P4/mmm (123)
1.0
3.7277 0.0000 0.0000
0.0000 3.7277 0.0000
0.0000 0.0000 3.7247
Ni Pd N O
1 1 2 1
Direct
0.0000 0.0000 0.0000 Ni
0.5000 0.5000 0.5000 Pd
0.0000 0.5000 0.0000 N
0.5000 0.0000 0.0000 N
0.0000 0.0000 0.5000 O